No. 1
VASP calculation (PBE-GGA) on a relaxed TiSe2O crystal.

a b c (Å): 8.2332 8.2332 8.2332
angles (deg): 22.19 22.19 22.19
Last column: nearest neighbours and their distance in Å.
Atoms (fractional coordinates):
Ti: 0.0000 0.0000 0.0000  2 Se 2.42
Se: 0.1006 0.1006 0.1006  1 Ti 2.42, 3 O 2.42
Se: 0.8994 0.8994 0.8994  1 Ti 2.42, 3 O 2.42
O: 0.5000 0.5000 0.5000  6 Se 2.42

The calculation puts the formation energy from raw total energies at 0.46 eV per atom. As for the space group: R-3m, No. 166.

No. 2
VASP calculation (PBE-GGA) on a relaxed TiSe2O crystal.

a b c (Å): 6.9141 6.9141 6.9141
angles (deg): 134.41 134.41 66.45
Last column: nearest neighbours and their distance in Å.
Atoms (fractional coordinates):
Ti: 0.0000 0.0000 0.0000  4 Se 2.46
Ti: 0.7500 0.2500 0.5000  4 Se 2.46
Se: 0.1483 0.6250 0.0233  2 O 2.32, 2 Ti 2.46
Se: 0.3750 0.3983 0.5233  2 O 2.32, 2 Ti 2.46
Se: 0.6017 0.1250 0.9767  2 O 2.32, 2 Ti 2.46
Se: 0.8750 0.8517 0.4767  2 O 2.32, 2 Ti 2.46
O: 0.2500 0.7500 0.5000  4 Se 2.32
O: 0.5000 0.5000 0.0000  4 Se 2.32

The calculation puts the formation energy from raw total energies at -0.18 eV per atom. As for the space group: I-42d, No. 122.

No. 3
VASP calculation (PBE-GGA) on a relaxed Ti3Se3O crystal.

a b c (Å): 7.7879 7.7879 5.1294
angles (deg): 90.00 90.00 120.00
Last column: nearest neighbours and their distance in Å.
Atoms (fractional coordinates):
Ti: 0.1882 0.3764 0.2500  1 O 1.96
Ti: 0.1882 0.8118 0.2500  1 O 1.96
Ti: 0.3764 0.1882 0.7500  1 O 1.96
Ti: 0.6236 0.8118 0.2500  1 O 1.96
Ti: 0.8118 0.1882 0.7500  1 O 1.96
Ti: 0.8118 0.6236 0.7500  1 O 1.96
Se: 0.1903 0.3805 0.7500  4 Ti 2.55-2.56
Se: 0.1903 0.8097 0.7500  4 Ti 2.55-2.56
Se: 0.3805 0.1903 0.2500  4 Ti 2.55-2.56
Se: 0.6195 0.8097 0.7500  4 Ti 2.55-2.56
Se: 0.8097 0.1903 0.2500  4 Ti 2.55-2.56
Se: 0.8097 0.6195 0.2500  4 Ti 2.55-2.56
O: 0.3333 0.6667 0.2500  3 Ti 1.96
O: 0.6667 0.3333 0.7500  3 Ti 1.96

The calculation puts the formation energy from raw total energies at -1.34 eV per atom. As for the space group: P6_3/mmc, No. 194.